Computed, not measured: a relaxed KAgAsRu crystal at the PBE-GGA level of DFT.

Cell: 4.017 4.017 12.400 Å, 90.00 90.00 90.00°
Fractional coordinates of all 8 atoms:
K 0.750 0.750 0.260
K 0.250 0.250 0.740
Ag 0.250 0.750 0.500
Ag 0.750 0.250 0.500
As 0.750 0.750 0.887
As 0.250 0.250 0.113
Ru 0.750 0.250 0.000
Ru 0.250 0.750 0.000

Output
DFT total energy ... -37.6 eV per cell
Symmetry ... P4/nmm (129)
Magnetization ... 0.00 μB/f.u.

Computed, not measured: a relaxed Tb3NpPd12 crystal at the PBE-GGA level of DFT.

Cell: 4.132 4.132 16.523 Å, 90.00 90.00 90.00°
Each line ends with the local moment (μB).
Fractional coordinates of all 16 atoms:
Tb 0.000 0.000 0.252  -0.02
Tb 0.000 0.000 0.500  0.00
Tb 0.000 0.000 0.748  -0.02
Np 0.000 0.000 0.000  3.19
Pd 0.500 0.500 0.000  -0.09
Pd 0.500 0.500 0.249  -0.01
Pd 0.500 0.500 0.500  -0.01
Pd 0.500 0.500 0.751  -0.01
Pd 0.500 0.000 0.122  -0.07
Pd 0.500 0.000 0.374  -0.01
Pd 0.500 0.000 0.626  -0.01
Pd 0.500 0.000 0.878  -0.07
Pd 0.000 0.500 0.122  -0.07
Pd 0.000 0.500 0.374  -0.01
Pd 0.000 0.500 0.626  -0.01
Pd 0.000 0.500 0.878  -0.07

Output
DFT total energy ... -101.5 eV per cell
Symmetry ... P4/mmm (123)
Magnetization ... 2.74 μB/f.u.

Computed, not measured: a relaxed K2ZrAg crystal at the PBE-GGA level of DFT.

Cell: 6.951 6.951 3.071 Å, 90.00 90.00 122.54°
Each line ends with the local moment (μB).
Fractional coordinates of all 4 atoms:
Ag 0.000 0.500 0.500  0.00
K 0.000 0.000 0.000  0.01
K 0.500 0.500 0.000  0.01
Zr 0.500 0.000 0.500  0.29

Output
DFT total energy ... -10.5 eV per cell
Symmetry ... Cmmm (65)
Energy above the lowest structure with this stoichiometry ... 391 meV per atom
Magnetization ... 0.64 μB/f.u.